(1)
The following is a PBE-GGA calculation of a geometry-optimized Ni2BSe structure, from the Alexandria database.

Unit cell a=5.6753 b=5.6753 c=5.6753 alpha=90.00 beta=90.00 gamma=90.00
Last column: nearest neighbours and their distance in Å.
Space group Fm-3m (No. 225)
One atom of each set of equivalent atoms:
Ni1 0.2500 0.2500 0.2500 [8 per cell]  4 Se 2.46, 4 B 2.46
B1 0.0000 0.0000 0.0000 [4 per cell]  8 Ni 2.46
Se1 0.0000 0.0000 0.5000 [4 per cell]  8 Ni 2.46

Computed properties:
- Crystal system: cubic
- M_tot: 0.000 μB per cell
- E_form (uncorrected): 0.55 eV per atom



(2)
The following is a PBE-GGA calculation of a geometry-optimized Ni2BSe structure, from the Alexandria database.

Unit cell a=4.4995 b=4.4995 c=11.1533 alpha=90.00 beta=90.00 gamma=90.00
Last column: nearest neighbours and their distance in Å.
Space group I-42d (No. 122)
One atom of each set of equivalent atoms:
Ni1 0.1671 0.2500 0.1250 [8 per cell]  2 B 1.94
B1 0.0000 0.0000 0.0000 [4 per cell]  4 Ni 1.94
Se1 0.0000 0.0000 0.5000 [4 per cell]  4 Ni 2.34

Computed properties:
- Crystal system: tetragonal
- M_tot: 0.000 μB per cell
- E_form (uncorrected): 0.18 eV per atom



(3)
The following is a PBE-GGA calculation of a geometry-optimized NiB3Se structure, from the Alexandria database.

Unit cell a=4.0336 b=4.0336 c=4.0336 alpha=90.00 beta=90.00 gamma=90.00
Last column: nearest neighbours and their distance in Å.
Space group Pm-3m (No. 221)
One atom of each set of equivalent atoms:
Ni1 0.0000 0.0000 0.0000 [1 per cell]  12 B 2.85
B1 0.0000 0.5000 0.5000 [3 per cell]  2 Se 2.02
Se1 0.5000 0.5000 0.5000 [1 per cell]  6 B 2.02

Computed properties:
- Crystal system: cubic
- M_tot: 0.000 μB per cell
- E_form (uncorrected): 2.18 eV per atom



(4)
The following is a PBE-GGA calculation of a geometry-optimized NiB2Se6 structure, from the Alexandria database.

Unit cell a=10.7676 b=10.3999 c=6.2239 alpha=90.00 beta=105.05 gamma=90.00
Last column: nearest neighbours and their distance in Å.
Space group C2/c (No. 15)
One atom of each set of equivalent atoms:
Ni1 0.0000 0.0991 0.2500 [4 per cell]  6 Se 2.38-2.47
B1 0.1888 0.4231 0.3176 [8 per cell]  4 Se 2.06-2.11
Se1 0.1110 0.4275 0.5954 [8 per cell]  2 B 2.10-2.11
Se2 0.1135 0.0831 0.6320 [8 per cell]  1 B 2.07
Se3 0.1578 0.2429 0.1764 [8 per cell]  1 B 2.06

Computed properties:
- Crystal system: monoclinic
- M_tot: 0.000 μB per cell
- E_form (uncorrected): -0.03 eV per atom



(5)
The following is a PBE-GGA calculation of a geometry-optimized NiB3Se structure, from the Alexandria database.

Unit cell a=3.9148 b=3.9148 c=3.9148 alpha=90.00 beta=90.00 gamma=90.00
Last column: nearest neighbours and their distance in Å.
Space group Pm-3m (No. 221)
One atom of each set of equivalent atoms:
Ni1 0.0000 0.0000 0.0000 [1 per cell]  6 B 1.96
B1 0.0000 0.0000 0.5000 [3 per cell]  2 Ni 1.96
Se1 0.5000 0.5000 0.5000 [1 per cell]  12 B 2.77

Computed properties:
- Crystal system: cubic
- M_tot: 0.000 μB per cell
- E_form (uncorrected): 1.22 eV per atom



(6)
The following is a PBE-GGA calculation of a geometry-optimized NiB2Se structure, from the Alexandria database.

Unit cell a=4.8249 b=4.8249 c=8.7883 alpha=90.00 beta=90.00 gamma=90.00
Last column: nearest neighbours and their distance in Å.
Space group I-42d (No. 122)
One atom of each set of equivalent atoms:
Ni1 0.0000 0.0000 0.0000 [4 per cell]  4 B 1.97
B1 0.2301 0.2500 0.1250 [8 per cell]  2 Ni 1.97, 2 Se 2.09
Se1 0.0000 0.0000 0.5000 [4 per cell]  4 B 2.09

Computed properties:
- Crystal system: tetragonal
- M_tot: 0.000 μB per cell
- E_form (uncorrected): 0.56 eV per atom